Computed, not measured: GdTm2Cu after structural relaxation at the PBE-GGA level of DFT.

Cell lengths 3.4516, 3.4516, 8.6777 Å; angles 90.00, 90.00, 90.00 degrees
Last column: nearest neighbours and their distance in Å.
Positions (direct):
1 Gd 0.5000 0.5000 0.5000  4 Gd 3.45, 8 Tm 3.61
2 Tm 0.0000 0.0000 0.1931  4 Cu 2.96
3 Tm 0.0000 0.0000 0.8069  4 Cu 2.96
4 Cu 0.5000 0.5000 0.0000  8 Tm 2.96

Summary:
calculated formation energy: -0.112 eV/atom
energy above the lowest structure with this stoichiometry: 0.00 eV per formula unit
total energy: -6.892 eV/atom
total moment: 7.74 μB/cell